1.
A geometry-optimized KMg2W structure. Source: Alexandria, functional GGA-PBE.

Calculated values
**Energy relative to the lowest polymorph listed for this composition**: 252 meV per atom
**Total moment**: 0.0 Bohr magnetons per cell
**SG**: No. 6
**E_form**: 862 meV/atom

Cell lengths 4.922, 2.815, 8.022 Å; angles 89.04, 90.00, 90.00 degrees
Element x y z (fractional)
1 W 0.000 0.606 0.385
2 Mg 0.500 0.111 0.311
3 Mg 0.000 0.120 0.080
4 K 0.500 0.663 0.723



2.
A geometry-optimized KMg4W structure. Source: Alexandria, functional GGA-PBE.

Calculated values
**Total moment**: 4.0 Bohr magnetons per cell
**SG**: No. 216
**E_form**: 840 meV/atom

Cell lengths 5.939, 5.939, 5.939 Å; angles 60.00, 60.00, 60.00 degrees
Site moments in Bohr magnetons follow the coordinates.
Element x y z (fractional)
1 Mg 0.376 0.376 0.871  0.00
2 Mg 0.871 0.376 0.376  0.00
3 Mg 0.376 0.871 0.376  0.00
4 Mg 0.376 0.376 0.376  0.00
5 K 0.000 0.000 0.000  0.02
6 W 0.750 0.750 0.750  2.57



3.
A geometry-optimized KMgW structure. Source: Alexandria, functional GGA-PBE.

Calculated values
**Energy relative to the lowest polymorph listed for this composition**: 6 meV per atom
**Total moment**: 0.0 Bohr magnetons per cell
**SG**: No. 107
**E_form**: 973 meV/atom

Cell lengths 8.883, 8.883, 8.883 Å; angles 161.58, 161.58, 26.17 degrees
Element x y z (fractional)
1 W 0.683 0.683 0.000
2 K 0.011 0.011 0.000
3 Mg 0.307 0.307 0.000



4.
A geometry-optimized KYMg2 structure. Source: Alexandria, functional GGA-PBE.

Calculated values
**Energy relative to the lowest polymorph listed for this composition**: 132 meV per atom
**Total moment**: 0.6 Bohr magnetons per cell
**SG**: No. 160
**E_form**: 251 meV/atom

Cell lengths 12.348, 12.348, 12.348 Å; angles 16.39, 16.39, 16.39 degrees
Site moments in Bohr magnetons follow the coordinates.
Element x y z (fractional)
1 Mg 0.253 0.253 0.253  0.01
2 Mg 0.988 0.988 0.988  0.01
3 K 0.746 0.746 0.746  0.01
4 Y 0.513 0.513 0.513  0.16